Computed, not measured: a relaxed Y3PuSc2Se6 crystal at the PBE-GGA level of DFT.

Cell lengths 4.008, 8.088, 9.004 Å; angles 102.99, 102.86, 90.00 degrees
Element x y z (fractional)
Se (0.330, 0.905, 0.661)
Se (0.328, 0.427, 0.656)
Se (0.996, 0.745, 0.992)
Se (0.670, 0.095, 0.339)
Se (0.672, 0.573, 0.344)
Se (0.004, 0.255, 0.008)
Sc (0.837, 0.675, 0.675)
Sc (0.163, 0.325, 0.325)
Y (0.500, 0.500, 0.000)
Y (0.163, 0.833, 0.326)
Y (0.837, 0.167, 0.674)
Pu (0.500, 0.000, 0.000)

Calculated values
- magnetic moment (Bohr magnetons per cell) = 6.1
- crystal system = monoclinic
- VASP energy (eV/atom) = -7.287
- uncorrected formation energy (eV/atom) = -1.68
- mass density (g/cm3) = 6.4